# Tl2Ag2F7

An optimized crystal structure of Tl2Ag2F7 (PBE, the Alexandria database).

Cell: 5.8044 5.8044 5.7502 Å, 90.00 90.00 93.28°
Atoms (fractional coordinates):
Tl1 0.2296 0.7704 0.0000
Tl2 0.7704 0.2296 0.0000
Ag1 0.2335 0.2335 0.5000
Ag2 0.7665 0.7665 0.5000
F1 0.0000 0.0000 0.2364
F2 0.0000 0.0000 0.7636
F3 0.0000 0.5000 0.2296
F4 0.0000 0.5000 0.7704
F5 0.5000 0.0000 0.2296
F6 0.5000 0.0000 0.7704
F7 0.5000 0.5000 0.5000

## Properties
Raw total energy = -3.54 eV/atom
ΔE to the lowest computed polymorph = 93 meV/atom
V = 193.41 Å³/cell
Crystal system = orthorhombic
Formation energy (no corrections) = -1.398 eV/atom
Symmetry = Cmmm